# 1
VASP calculation (GGA-PBE) on a relaxed structure of NiOsBr2.

The structure in POSCAR format:
```
NiOsBr2
1.0
5.813 0.000 0.000
0.000 5.813 0.000
2.907 2.907 4.996
Br Os Ni
4 2 2
Direct
0.875 0.861 0.750
0.139 0.625 0.250
0.611 0.125 0.250
0.375 0.389 0.750
0.750 0.250 0.500
0.000 0.000 0.000
0.250 0.750 0.500
0.500 0.500 0.000
```

E_form (uncorrected), eV per atom: 1.028
N(E_F), states/eV per cell: 7.089
Total moment, μB per cell: 0.00



# 2
VASP calculation (GGA-PBE) on a relaxed structure of OsRhPb.

The structure in POSCAR format:
```
OsRhPb
1.0
-1.491 2.601 -0.366
-1.412 -2.398 1.174
1.868 1.946 6.219
Rh Pb Os
1 1 1
Direct
0.333 0.667 0.688
0.667 0.333 0.336
0.000 0.000 0.977
```

N(E_F), states/eV per cell: 3.664
Formation energy from the elements, eV per formula unit: 2.1
Total moment, μB per cell: 0.00



# 3
VASP calculation (GGA-PBE) on a relaxed structure of CaDyScCd.

The structure in POSCAR format:
```
CaDyScCd
1.0
5.414 0.000 0.000
2.707 4.689 0.000
2.707 1.563 4.421
Cd Dy Sc Ca
1 1 1 1
Direct
0.750 0.750 0.750
0.000 0.000 0.000
0.250 0.250 0.250
0.500 0.500 0.500
```

N(E_F), states/eV per cell: 3.072
Formation energy from the elements, eV per formula unit: 0.1
Total moment, μB per cell: 0.00



# 4
VASP calculation (GGA-PBE) on a relaxed structure of Ho4PaGa15.

The structure in POSCAR format:
```
Ho4PaGa15
1.0
-2.463 1.081 3.288
2.532 -2.189 2.617
11.940 17.588 3.161
Ho Ga Pa
4 15 1
Direct
0.000 0.000 0.400
0.000 0.000 0.201
0.000 0.000 0.600
0.000 0.000 0.799
0.500 0.500 0.401
0.500 0.000 0.899
0.500 0.000 0.500
0.500 0.500 0.201
0.500 0.500 0.000
0.000 0.500 0.101
0.000 0.500 0.300
0.500 0.500 0.599
0.500 0.500 0.799
0.000 0.500 0.700
0.500 0.000 0.300
0.000 0.500 0.500
0.500 0.000 0.101
0.500 0.000 0.700
0.000 0.500 0.899
0.000 0.000 0.000
```

N(E_F), states/eV per cell: 7.856
Formation energy from the elements, eV per formula unit: -10.1
Total moment, μB per cell: 0.00



# 5
VASP calculation (GGA-PBE) on a relaxed structure of PrHo5Er7.

The structure in POSCAR format:
```
PrHo5Er7
1.0
6.648 0.000 0.000
3.324 7.964 0.173
3.324 0.147 7.965
Er Ho Pr
7 5 1
Direct
0.982 0.688 0.349
0.481 0.849 0.189
0.481 0.189 0.849
0.727 0.273 0.273
0.230 0.270 0.270
0.982 0.349 0.688
0.422 0.578 0.578
0.466 0.997 0.538
0.466 0.538 0.997
0.998 0.997 0.538
0.734 0.766 0.766
0.998 0.538 0.997
0.031 0.969 0.969
```

N(E_F), states/eV per cell: 25.005
Formation energy from the elements, eV per formula unit: 3.3
Total moment, μB per cell: 0.00



# 6
VASP calculation (GGA-PBE) on a relaxed structure of PaP2Ir.

The structure in POSCAR format:
```
PaP2Ir
1.0
-1.809 -2.213 -2.704
-1.208 -2.462 2.822
-2.452 4.906 0.488
P Ir Pa
2 1 1
Direct
0.603 0.262 0.991
0.840 0.500 0.466
0.471 0.631 0.728
0.221 0.881 0.228
```

N(E_F), states/eV per cell: 2.154
Formation energy from the elements, eV per formula unit: -3.9
Total moment, μB per cell: 0.00



# 7
VASP calculation (GGA-PBE) on a relaxed structure of AcCuP.

The structure in POSCAR format:
```
AcCuP
1.0
-3.373 -1.417 2.214
-0.743 -2.941 -3.014
4.505 -0.502 2.412
Cu Ac P
1 1 1
Direct
0.254 0.254 0.507
0.613 0.613 0.226
0.983 0.983 0.967
```

N(E_F), states/eV per cell: 1.417
Formation energy from the elements, eV per formula unit: -1.2
Total moment, μB per cell: 0.00



# 8
VASP calculation (GGA-PBE) on a relaxed structure of BaLaY2.

The structure in POSCAR format:
```
BaLaY2
1.0
4.946 0.000 0.000
0.000 4.946 0.000
2.473 2.473 12.629
Y La Ba
4 2 2
Direct
0.875 0.884 0.750
0.375 0.366 0.750
0.116 0.625 0.250
0.634 0.125 0.250
0.000 0.000 0.000
0.750 0.250 0.500
0.250 0.750 0.500
0.500 0.500 0.000
```

N(E_F), states/eV per cell: 15.562
Formation energy from the elements, eV per formula unit: 2.1
Total moment, μB per cell: 3.10



# 9
VASP calculation (GGA-PBE) on a relaxed structure of Y3BiTe.

The structure in POSCAR format:
```
Y3BiTe
1.0
-5.477 -1.209 -0.585
-0.469 -0.580 5.589
-1.258 5.477 0.463
Y Bi Te
3 1 1
Direct
0.500 0.000 0.000
0.000 0.500 0.000
0.000 0.000 0.500
0.500 0.500 0.500
0.000 0.000 0.000
```

E_form (uncorrected), eV per atom: -0.213
N(E_F), states/eV per cell: 8.311
Total moment, μB per cell: 0.00



# 10
VASP calculation (GGA-PBE) on a relaxed structure of Pm2RhF.

The structure in POSCAR format:
```
Pm2RhF
1.0
-2.168 -2.540 -0.387
1.241 -0.592 -3.068
4.995 -4.711 2.928
Rh Pm F
1 2 1
Direct
0.500 0.500 0.000
0.000 0.000 0.237
0.000 0.000 0.763
0.500 0.500 0.500
```

E_form (uncorrected), eV per atom: -1.328
N(E_F), states/eV per cell: 3.280
Total moment, μB per cell: 0.00



# 11
VASP calculation (GGA-PBE) on a relaxed structure of Os2RuPbO8.

The structure in POSCAR format:
```
Os2RuPbO8
1.0
-3.901 -3.877 -1.111
4.650 -1.421 2.800
-3.172 1.469 6.012
Os O Ru Pb
2 8 1 1
Direct
0.333 0.667 0.732
0.667 0.333 0.268
0.691 0.760 0.682
0.667 0.333 0.009
0.333 0.667 0.991
0.069 0.309 0.682
0.760 0.069 0.318
0.240 0.931 0.682
0.309 0.240 0.318
0.931 0.691 0.318
0.000 0.000 0.500
0.000 0.000 0.000
```

E_form (uncorrected), eV per atom: -0.738
N(E_F), states/eV per cell: 9.585
Total moment, μB per cell: 0.80



# 12
VASP calculation (GGA-PBE) on a relaxed structure of TiInPd3.

The structure in POSCAR format:
```
TiInPd3
1.0
4.863 0.000 0.000
0.000 4.863 0.000
0.000 0.000 4.863
Pd In Ti
3 1 1
Direct
0.500 0.000 0.000
0.000 0.500 0.000
0.000 0.000 0.500
0.000 0.000 0.000
0.500 0.500 0.500
```

N(E_F), states/eV per cell: 9.713
Formation energy from the elements, eV per formula unit: 3.8
Total moment, μB per cell: 0.00



# 13
VASP calculation (GGA-PBE) on a relaxed structure of LiY4In3.

The structure in POSCAR format:
```
LiY4In3
1.0
5.037 0.000 -1.360
-0.361 5.030 -1.339
-0.396 -0.461 8.544
Y In Li
4 3 1
Direct
0.625 0.625 0.249
0.125 0.125 0.249
0.875 0.875 0.751
0.375 0.375 0.751
0.746 0.246 0.493
0.000 0.500 0.000
0.254 0.754 0.507
0.500 0.000 0.000
```

N(E_F), states/eV per cell: 5.500
Formation energy from the elements, eV per formula unit: -3.3
Total moment, μB per cell: 0.00



# 14
VASP calculation (GGA-PBE) on a relaxed structure of MgAlIn2.

The structure in POSCAR format:
```
MgAlIn2
1.0
5.299 0.001 0.018
4.322 3.065 0.018
1.032 0.329 5.641
In Al Mg
2 1 1
Direct
0.999 0.999 0.004
0.501 0.501 0.496
0.250 0.250 0.250
0.750 0.750 0.750
```

N(E_F), states/eV per cell: 1.898
Formation energy from the elements, eV per formula unit: 0.2
Total moment, μB per cell: 0.00



# 15
VASP calculation (GGA-PBE) on a relaxed structure of SrBi2F.

The structure in POSCAR format:
```
SrBi2F
1.0
0.000 3.835 3.835
3.835 0.000 3.835
3.835 3.835 0.000
Sr Bi F
1 2 1
Direct
0.500 0.500 0.500
0.750 0.750 0.750
0.250 0.250 0.250
0.000 0.000 0.000
```

E_form (uncorrected), eV per atom: -0.625
N(E_F), states/eV per cell: 2.600
Total moment, μB per cell: 0.00



# 16
VASP calculation (GGA-PBE) on a relaxed structure of NaZn2InF6.

The structure in POSCAR format:
```
NaZn2InF6
1.0
0.058 5.242 -1.215
-7.093 0.458 1.439
0.905 1.659 7.001
Na F In Zn
2 12 2 4
Direct
0.750 0.635 0.365
0.250 0.365 0.635
0.997 0.912 0.355
0.995 0.333 0.332
0.005 0.667 0.668
0.503 0.645 0.088
0.495 0.332 0.333
0.496 0.912 0.355
0.004 0.645 0.088
0.504 0.088 0.645
0.505 0.668 0.667
0.497 0.355 0.912
0.003 0.088 0.645
0.996 0.355 0.912
0.250 0.920 0.080
0.750 0.080 0.920
0.251 0.877 0.583
0.751 0.583 0.877
0.749 0.123 0.417
0.249 0.417 0.123
```

E_form (uncorrected), eV per atom: -2.218
N(E_F), states/eV per cell: 0.219
Total moment, μB per cell: 0.00



# 17
VASP calculation (GGA-PBE) on a relaxed structure of TiTlF2.

The structure in POSCAR format:
```
TiTlF2
1.0
-2.714 8.345 4.347
0.064 8.112 5.486
-0.356 9.381 2.788
Tl F Ti
1 2 1
Direct
0.000 0.000 0.000
0.122 0.122 0.122
0.878 0.878 0.878
0.500 0.500 0.500
```

E_form (uncorrected), eV per atom: -1.844
N(E_F), states/eV per cell: 3.135
Total moment, μB per cell: 0.00



# 18
VASP calculation (GGA-PBE) on a relaxed structure of Pt2W2Au.

The structure in POSCAR format:
```
Pt2W2Au
1.0
-5.433 2.774 -4.935
-0.792 -7.145 -3.145
-1.960 -0.587 1.828
Pt W Au
4 4 2
Direct
0.376 0.876 0.000
0.124 0.376 0.000
0.876 0.624 0.000
0.624 0.124 0.000
0.172 0.672 0.500
0.672 0.828 0.500
0.828 0.328 0.500
0.328 0.172 0.500
0.500 0.500 0.000
0.000 0.000 0.000
```

N(E_F), states/eV per cell: 7.725
Formation energy from the elements, eV per formula unit: 0.6
Total moment, μB per cell: 0.00



# 19
VASP calculation (GGA-PBE) on a relaxed structure of Cs2InSbBr6.

The structure in POSCAR format:
```
Cs2InSbBr6
1.0
8.423 0.002 0.001
4.213 7.293 0.000
4.213 2.432 6.711
Sb Cs Br In
1 2 6 1
Direct
0.316 0.316 0.051
0.067 0.068 0.799
0.564 0.564 0.307
0.507 0.601 0.809
0.125 0.032 0.293
0.601 0.082 0.809
0.550 0.125 0.293
0.031 0.551 0.293
0.083 0.507 0.809
0.816 0.816 0.552
```

E_form (uncorrected), eV per atom: -1.148
Total moment, μB per cell: 0.00



# 20
VASP calculation (GGA-PBE) on a relaxed structure of LaMg2Re.

The structure in POSCAR format:
```
LaMg2Re
1.0
5.647 -0.006 0.000
-2.630 4.998 0.000
0.000 0.000 3.007
Mg Re La
2 1 1
Direct
0.500 0.500 0.000
0.000 0.000 0.000
0.500 0.000 0.500
0.000 0.500 0.500
```

N(E_F), states/eV per cell: 2.739
Formation energy from the elements, eV per formula unit: 2.0
Total moment, μB per cell: 0.00



# 21
VASP calculation (GGA-PBE) on a relaxed structure of AlV3Fe.

The structure in POSCAR format:
```
AlV3Fe
1.0
4.293 0.000 0.000
0.000 4.293 0.000
0.000 0.000 4.293
V Fe Al
3 1 1
Direct
0.500 0.000 0.000
0.000 0.500 0.000
0.000 0.000 0.500
0.000 0.000 0.000
0.500 0.500 0.500
```

N(E_F), states/eV per cell: 5.270
Formation energy from the elements, eV per formula unit: 2.8
Total moment, μB per cell: 0.00



# 22
VASP calculation (GGA-PBE) on a relaxed structure of SrTbInBr6.

The structure in POSCAR format:
```
SrTbInBr6
1.0
-4.360 -4.061 4.861
1.277 -2.612 -7.119
11.437 -6.826 4.556
Br Tb In Sr
12 2 2 2
Direct
0.648 0.024 0.366
0.024 0.648 0.866
0.624 0.976 0.866
0.352 0.376 0.866
0.976 0.352 0.134
0.376 0.024 0.134
0.024 0.376 0.634
0.376 0.352 0.366
0.352 0.976 0.634
0.624 0.648 0.634
0.976 0.624 0.366
0.648 0.624 0.134
0.667 0.333 0.250
0.333 0.667 0.750
0.000 0.000 0.500
0.000 0.000 0.000
0.333 0.667 0.250
0.667 0.333 0.750
```

E_form (uncorrected), eV per atom: -1.696
N(E_F), states/eV per cell: 0.000
Total moment, μB per cell: 0.00



# 23
VASP calculation (GGA-PBE) on a relaxed structure of Hf2MnPb.

The structure in POSCAR format:
```
Hf2MnPb
1.0
-3.597 -4.116 5.380
0.387 -6.206 -4.489
0.908 -5.843 1.604
Hf Mn Pb
4 2 2
Direct
0.560 0.125 0.250
0.375 0.440 0.750
0.875 0.810 0.750
0.190 0.625 0.250
0.500 0.500 0.000
0.250 0.750 0.500
0.000 0.000 0.000
0.750 0.250 0.500
```

N(E_F), states/eV per cell: 8.872
Formation energy from the elements, eV per formula unit: 1.9
Total moment, μB per cell: 0.00



# 24
VASP calculation (GGA-PBE) on a relaxed structure of MnAgW.

The structure in POSCAR format:
```
MnAgW
1.0
-4.263 3.652 3.526
-5.374 -0.027 3.881
5.943 -2.002 -2.147
Mn Ag W
1 1 1
Direct
0.329 0.329 0.000
0.996 0.996 0.000
0.675 0.675 0.000
```

N(E_F), states/eV per cell: 2.526
Formation energy from the elements, eV per formula unit: 1.4
Total moment, μB per cell: 3.25



# 25
VASP calculation (GGA-PBE) on a relaxed structure of VZn2Cl4.

The structure in POSCAR format:
```
VZn2Cl4
1.0
5.437 0.000 0.000
0.000 5.437 0.000
2.719 2.719 5.837
Cl V Zn
4 1 2
Direct
0.790 0.790 0.420
0.000 0.500 0.000
0.210 0.210 0.580
0.500 0.000 0.000
0.000 0.000 0.000
0.401 0.401 0.198
0.599 0.599 0.802
```

E_form (uncorrected), eV per atom: -0.605
N(E_F), states/eV per cell: 1.530
Total moment, μB per cell: 3.05



Raw total energy (eV/atom)
-4.06 -6.74 -3.44 -4.17 -4.33 -8.27 -4.94 -4.42 -5.50 -6.01 -7.00 -4.48 -4.92 -2.64 -3.45 -4.00 -5.35 -8.13 -3.01 -4.64 -7.35 -3.82 -7.72 -7.87 -3.33